Entry 1:
! TcSeS2N (PBE, relaxed); values from VASP
! Spin magnetization = 3.8 μB/cell
! Symmetry = P4/mmm
! Final energy = -4.649 eV/atom
! Uncorrected formation energy = 1.438 eV/atom
! Density = 4.9 Mg/m³
! Energy above the most stable polymorph in this dataset = 0.950 eV/atom
&SYSTEM
  ibrav = 0, nat = 5, ntyp = 4
/
ATOMIC_SPECIES
Tc 98.00 Tc.upf
Se 78.96 Se.upf
S 32.06 S.upf
N 14.01 N.upf
CELL_PARAMETERS angstrom
4.891 0.000 0.000
0.000 4.891 0.000
0.000 0.000 3.611
ATOMIC_POSITIONS crystal
Tc 0.000 0.000 0.000
Se 0.500 0.500 0.500
S 0.000 0.500 0.500
S 0.500 0.000 0.500
N 0.500 0.500 0.000


Entry 2:
! TlH2AuI (PBE, relaxed); values from VASP
! Spin magnetization = 0.0 μB/cell
! Symmetry = P4/mmm
! Final energy = -2.422 eV/atom
! Density = 7.8 Mg/m³
&SYSTEM
  ibrav = 0, nat = 5, ntyp = 4
/
ATOMIC_SPECIES
Tl 204.38 Tl.upf
H 1.01 H.upf
Au 196.97 Au.upf
I 126.90 I.upf
CELL_PARAMETERS angstrom
4.070 0.000 0.000
0.000 4.070 0.000
0.000 0.000 6.814
ATOMIC_POSITIONS crystal
Tl 0.000 0.000 0.000
H 0.000 0.500 0.000
H 0.500 0.000 0.000
Au 0.500 0.500 0.500
I 0.000 0.000 0.500


Entry 3:
! TiPdSe2 (PBE, relaxed); values from VASP
! Spin magnetization = 0.0 μB/cell
! Symmetry = I-42d
! Final energy = -5.629 eV/atom
! Uncorrected formation energy = -0.614 eV/atom
! Density = 5.5 Mg/m³
! Energy above the most stable polymorph in this dataset = 0.154 eV/atom
&SYSTEM
  ibrav = 0, nat = 8, ntyp = 3
/
ATOMIC_SPECIES
Ti 47.87 Ti.upf
Pd 106.42 Pd.upf
Se 78.96 Se.upf
CELL_PARAMETERS angstrom
-2.881 2.881 5.721
2.881 -2.881 5.721
2.881 2.881 -5.721
ATOMIC_POSITIONS crystal
Ti 0.000 0.000 0.000
Ti 0.750 0.250 0.500
Pd 0.250 0.750 0.500
Pd 0.500 0.500 0.000
Se 0.113 0.625 0.988
Se 0.375 0.363 0.488
Se 0.637 0.125 0.012
Se 0.875 0.887 0.512


Entry 4:
! LiTcAg (PBE, relaxed); values from VASP
! Spin magnetization = 0.0 μB/cell
! Symmetry = P3m1
! Final energy = -4.757 eV/atom
! Density = 7.6 Mg/m³
! Formation energy from the elements = 0.286 eV per atom
! Energy above the most stable polymorph in this dataset = 0.000 eV/atom
&SYSTEM
  ibrav = 0, nat = 3, ntyp = 3
/
ATOMIC_SPECIES
Li 6.94 Li.upf
Tc 98.00 Tc.upf
Ag 107.87 Ag.upf
CELL_PARAMETERS angstrom
2.733 0.000 0.000
-1.366 2.367 0.000
0.000 0.000 7.190
ATOMIC_POSITIONS crystal
Li 0.000 0.000 0.000
Tc 0.667 0.333 0.324
Ag 0.333 0.667 0.671


Entry 5:
! Y4Te2IrSe (PBE, relaxed); values from VASP
! Spin magnetization = 0.0 μB/cell
! Symmetry = P2/m
! Final energy = -6.890 eV/atom
! Uncorrected formation energy = -1.330 eV/atom
! Density = 6.7 Mg/m³
&SYSTEM
  ibrav = 0, nat = 8, ntyp = 4
/
ATOMIC_SPECIES
Y 88.91 Y.upf
Te 127.60 Te.upf
Ir 192.22 Ir.upf
Se 78.96 Se.upf
CELL_PARAMETERS angstrom
7.409 0.000 0.000
0.000 4.156 0.000
-2.380 0.000 7.111
ATOMIC_POSITIONS crystal
Y 0.219 0.000 0.208
Y 0.245 0.500 0.782
Y 0.755 0.500 0.218
Y 0.781 0.000 0.792
Te 0.000 0.000 0.500
Te 0.500 0.500 0.500
Ir 0.000 0.500 0.000
Se 0.500 0.000 0.000


Entry 6:
! Re2Se (PBE, relaxed); values from VASP
! Spin magnetization = 0.0 μB/cell
! Symmetry = P6_3/mmc
! Final energy = -8.475 eV/atom
! Uncorrected formation energy = 0.985 eV/atom
! Density = 16.1 Mg/m³
! Energy above the most stable polymorph in this dataset = 0.914 eV/atom
&SYSTEM
  ibrav = 0, nat = 6, ntyp = 2
/
ATOMIC_SPECIES
Re 186.21 Re.upf
Se 78.96 Se.upf
CELL_PARAMETERS angstrom
4.539 0.000 0.000
-2.270 3.931 0.000
0.000 0.000 5.225
ATOMIC_POSITIONS crystal
Re 0.000 0.000 0.000
Re 0.000 0.000 0.500
Re 0.333 0.667 0.250
Re 0.667 0.333 0.750
Se 0.333 0.667 0.750
Se 0.667 0.333 0.250


Which value of density does entry 6 give? 16.1 Mg/m³


What did the third record say?
! TiPdSe2 (PBE, relaxed); values from VASP
! Spin magnetization = 0.0 μB/cell
! Symmetry = I-42d
! Final energy = -5.629 eV/atom
! Uncorrected formation energy = -0.614 eV/atom
! Density = 5.5 Mg/m³
! Energy above the most stable polymorph in this dataset = 0.154 eV/atom
&SYSTEM
  ibrav = 0, nat = 8, ntyp = 3
/
ATOMIC_SPECIES
Ti 47.87 Ti.upf
Pd 106.42 Pd.upf
Se 78.96 Se.upf
CELL_PARAMETERS angstrom
-2.881 2.881 5.721
2.881 -2.881 5.721
2.881 2.881 -5.721
ATOMIC_POSITIONS crystal
Ti 0.000 0.000 0.000
Ti 0.750 0.250 0.500
Pd 0.250 0.750 0.500
Pd 0.500 0.500 0.000
Se 0.113 0.625 0.988
Se 0.375 0.363 0.488
Se 0.637 0.125 0.012
Se 0.875 0.887 0.512